First-principles (GGA+U) data for a relaxed structure of HoNpMoO6, as listed in Alexandria via LeMat-Bulk. Values from VASP.

Values from the calculation:
The density is 7990 kg/m3. As for the magnetic moment: 0.4444 μB per atom. The value obtained for the uncorrected energy is -8.66 eV per atom.

Structure (Quantum ESPRESSO input):
```
&SYSTEM
  ibrav = 0, nat = 18, ntyp = 4
/
ATOMIC_SPECIES
O 16.00 O.upf
Mo 95.94 Mo.upf
Ho 164.93 Ho.upf
Np 237.00 Np.upf
CELL_PARAMETERS angstrom
5.6557 0.0000 0.0000
-2.8279 4.8980 0.0000
0.0000 0.0000 8.9106
ATOMIC_POSITIONS angstrom
O 1.7829 3.3259 5.5970
Mo 0.0000 0.0000 4.4553
Ho 2.8279 1.6327 6.6830
Np 2.8279 1.6327 2.2277
O 3.7718 0.1189 3.3136
O -1.7829 3.3259 7.7689
Mo 0.0000 0.0000 0.0000
O 0.9439 4.7791 7.7689
Ho 0.0000 3.2653 2.2277
O -0.8390 1.6910 5.5970
O 0.8390 1.6910 7.7689
O 3.6669 3.2070 3.3136
Np 0.0000 3.2653 6.6830
O 4.6108 1.5721 1.1417
O 1.9889 3.2070 1.1417
O 1.8839 0.1189 1.1417
O -0.9439 4.7791 5.5970
O 1.0449 1.5721 3.3136
```